The following is a PBE-GGA calculation of an optimized crystal structure of CuCN, from Alexandria via LeMat-Bulk.

Results
Total energy   -81.62 eV/cell
Density   4.47 Mg/m³

Lattice parameters (Å, degrees): 6.292 2.330 9.084 90.00 90.00 90.00
Atoms (fractional coordinates):
Cu 0.243 0.250 0.004
Cu 0.257 0.750 0.504
Cu 0.743 0.250 0.496
Cu 0.757 0.750 0.996
C 0.248 0.250 0.795
C 0.252 0.750 0.295
C 0.748 0.250 0.705
C 0.752 0.750 0.205
N 0.250 0.250 0.215
N 0.250 0.750 0.715
N 0.750 0.250 0.285
N 0.750 0.750 0.785



The following is a PBE-GGA calculation of an optimized crystal structure of BaH2O3, from Alexandria via LeMat-Bulk.

Results
Excess energy over the best structure of this formula in the dataset   156 meV/atom
Density   3.62 Mg/m³

Lattice parameters (Å, degrees): 4.004 6.308 6.806 90.00 90.00 90.00
Atoms (fractional coordinates):
Ba 0.000 0.161 0.000
Ba 0.000 0.839 0.500
H 0.204 0.366 0.560
H 0.204 0.634 0.060
H 0.796 0.366 0.560
H 0.796 0.634 0.060
O 0.000 0.276 0.596
O 0.000 0.724 0.096
O 0.500 0.046 0.274
O 0.500 0.468 0.011
O 0.500 0.532 0.511
O 0.500 0.954 0.774



The following is a PBE-GGA calculation of an optimized crystal structure of MnSnP2Cl, from Alexandria via LeMat-Bulk.

Results
Excess energy over the best structure of this formula in the dataset   1277 meV/atom
Density   3.13 Mg/m³

Lattice parameters (Å, degrees): 5.244 5.244 5.226 90.00 90.00 90.00
Atoms (fractional coordinates):
Mn 0.000 0.000 0.000
Sn 0.500 0.500 0.500
P 0.000 0.500 0.500
P 0.500 0.000 0.500
Cl 0.500 0.500 0.000